[1]
Fe3W4, relaxed, DFT GGA-PBEsol; space group = P6/mmm, No. 191; E_tot = -82.05 eV for the cell shown
1.0
4.707 0.000 0.000
-2.354 4.077 0.000
0.000 0.000 4.839
Fe W
3 4
direct
0.000 0.500 0.000 Fe
0.500 0.000 0.000 Fe
0.500 0.500 0.000 Fe
0.000 0.000 0.749 W
0.000 0.000 0.251 W
0.333 0.667 0.500 W
0.667 0.333 0.500 W

---

[2]
BeC, relaxed, DFT GGA-PBEsol; space group = P-62m, No. 189; E_tot = -35.18 eV for the cell shown
1.0
1.905 0.000 0.000
0.000 5.092 0.000
0.000 -2.546 4.410
Be C
3 3
direct
0.000 0.000 0.362 Be
0.000 0.362 0.000 Be
0.000 0.638 0.638 Be
0.000 0.000 0.000 C
0.500 0.333 0.667 C
0.500 0.667 0.333 C

---

[3]
CaMo2Pt, relaxed, DFT GGA-PBEsol; space group = C2/m, No. 12; E_tot = -31.37 eV for the cell shown
1.0
2.705 -0.004 0.000
-1.150 5.098 0.000
-0.778 -2.547 4.860
Mo Ca Pt
2 1 1
direct
0.000 0.000 0.500 Mo
0.500 0.500 0.500 Mo
0.000 0.500 0.000 Ca
0.500 0.000 0.000 Pt

---

[4]
Sc6Te2Rh, relaxed, DFT GGA-PBEsol; space group = P-62m, No. 189; energy relative to the elements, uncorrected = -0.83 eV per atom
1.0
3.725 0.000 0.000
0.000 7.693 0.000
0.000 -3.846 6.662
Sc Te Rh
6 2 1
direct
0.000 0.757 0.757 Sc
0.000 0.243 0.000 Sc
0.000 0.000 0.243 Sc
0.500 0.392 0.392 Sc
0.500 0.608 0.000 Sc
0.500 0.000 0.608 Sc
0.000 0.333 0.667 Te
0.000 0.667 0.333 Te
0.500 0.000 0.000 Rh